[1]
Density functional theory data (PBE) for crystalline SrAc6Tm at its relaxed geometry.

Summary:
Volume ... 43.58 Å³/atom
ΔE_f ... 0.0534 eV per atom

Cell: 5.5753 5.5753 11.2163 Å, 90.00 90.00 90.00°
With the nearest neighbours (Å) after each atom.
Sites, in units of the cell vectors:
Ac 0.0000 0.5000 0.7386  8 Ac 3.86-4.05, 2 Tm 3.86, 2 Sr 4.05
Ac 0.5000 0.0000 0.2614  8 Ac 3.86-4.05, 2 Tm 3.86, 2 Sr 4.05
Ac 0.5000 0.0000 0.7386  8 Ac 3.86-4.05, 2 Tm 3.86, 2 Sr 4.05
Ac 0.5000 0.5000 0.5000  8 Ac 3.86, 4 Tm 3.94
Ac 0.0000 0.5000 0.2614  8 Ac 3.86-4.05, 2 Tm 3.86, 2 Sr 4.05
Ac 0.5000 0.5000 0.0000  4 Sr 3.94, 8 Ac 4.05
Sr 0.0000 0.0000 0.0000  12 Ac 3.94-4.05
Tm 0.0000 0.0000 0.5000  12 Ac 3.86-3.94



[2]
Density functional theory data (PBE) for crystalline ScIr3S at its relaxed geometry.

Summary:
Energy relative to the elements, uncorrected ... 0.17 eV/atom
Volume ... 17.44 Å³/atom
ΔE to the lowest computed polymorph ... 0.000 eV/atom

Cell: 4.4348 4.4348 4.4348 Å, 90.00 90.00 90.00°
With the nearest neighbours (Å) after each atom.
Sites, in units of the cell vectors:
Ir 0.5000 0.0000 0.0000  2 S 2.22
Ir 0.0000 0.5000 0.0000  2 S 2.22
Ir 0.0000 0.0000 0.5000  2 S 2.22
Sc 0.5000 0.5000 0.5000  12 Ir 3.14
S 0.0000 0.0000 0.0000  6 Ir 2.22



[3]
Density functional theory data (PBE) for crystalline PrIn2Pt2 at its relaxed geometry.

Summary:
Volume ... 22.95 Å³/atom
ΔE_f ... -0.7462 eV per atom

Cell: 4.7849 5.2729 9.2949 Å, 101.87 90.00 90.00°
With the nearest neighbours (Å) after each atom.
Sites, in units of the cell vectors:
Pt 0.7500 0.6682 0.0061  4 In 2.82-2.88, 2 Pt 2.97, 3 Pr 3.00-3.16
Pt 0.2500 0.8792 0.5962  5 In 2.68-2.82
Pt 0.2500 0.3318 0.9939  4 In 2.82-2.88, 2 Pt 2.97, 3 Pr 3.00-3.16
Pt 0.7500 0.1208 0.4038  5 In 2.68-2.82
In 0.2500 0.3493 0.5286  4 Pt 2.68-2.82, 2 In 2.98
In 0.7500 0.6507 0.4714  4 Pt 2.68-2.82, 2 In 2.98
In 0.7500 0.2173 0.1284  5 Pt 2.71-2.88
In 0.2500 0.7827 0.8716  5 Pt 2.71-2.88
Pr 0.7500 0.1857 0.7701  6 Pt 3.00-3.35, 1 In 3.30
Pr 0.2500 0.8143 0.2299  6 Pt 3.00-3.35, 1 In 3.30



[4]
Density functional theory data (PBE) for crystalline CeZr2Tl at its relaxed geometry.

Summary:
Volume ... 24.55 Å³/atom
ΔE to the lowest computed polymorph ... 0.255 eV/atom
ΔE_f ... 0.2095 eV per atom

Cell: 3.1633 3.1633 11.4791 Å, 82.08 82.08 60.00°
With the nearest neighbours (Å) after each atom.
Sites, in units of the cell vectors:
Zr 0.0900 0.0900 0.7299  1 Ce 3.06, 6 Zr 3.16, 3 Tl 3.18
Zr 0.9100 0.9100 0.2701  1 Ce 3.06, 6 Zr 3.16, 3 Tl 3.18
Tl 0.5000 0.5000 0.5000  6 Tl 3.16, 6 Zr 3.18
Ce 0.0000 0.0000 0.0000  2 Zr 3.06, 6 Ce 3.16



[5]
Density functional theory data (PBE) for crystalline ZrHO at its relaxed geometry.

Summary:
Volume ... 12.78 Å³/atom
ΔE to the lowest computed polymorph ... 0.000 eV/atom

Cell: 3.3407 3.3407 8.1632 Å, 78.19 78.19 60.00°
With the nearest neighbours (Å) after each atom.
Sites, in units of the cell vectors:
O 0.4015 0.4015 0.7956  3 Zr 2.14
O 0.5985 0.5985 0.2044  3 Zr 2.14
H 0.1930 0.1930 0.4209  4 Zr 2.03-2.08
H 0.8070 0.8070 0.5791  4 Zr 2.03-2.08
Zr 0.1075 0.1075 0.6774  4 H 2.03-2.08, 3 O 2.14
Zr 0.8925 0.8925 0.3226  4 H 2.03-2.08, 3 O 2.14



[6]
Density functional theory data (PBE) for crystalline CoMoOs2 at its relaxed geometry.

Summary:
Volume ... 14.30 Å³/atom
ΔE to the lowest computed polymorph ... 0.390 eV/atom
ΔE_f ... 0.4193 eV per atom

Cell: 2.6655 2.6655 8.8245 Å, 90.00 90.00 114.18°
With the nearest neighbours (Å) after each atom.
Sites, in units of the cell vectors:
Co 0.5000 0.5000 0.2500  4 Os 2.58, 4 Co 2.67
Os 0.0000 0.0000 0.4913  2 Co 2.58, 4 Os 2.67, 2 Mo 2.70
Os 0.0000 0.0000 0.0087  2 Co 2.58, 4 Os 2.67, 2 Mo 2.70
Mo 0.5000 0.5000 0.7500  6 Mo 2.67-2.90, 4 Os 2.70



[7]
Density functional theory data (PBE) for crystalline NbV2Mo6 at its relaxed geometry.

Summary:
Volume ... 15.58 Å³/atom
ΔE to the lowest computed polymorph ... 0.000 eV/atom
ΔE_f ... -0.0892 eV per atom

Cell: 2.7353 7.6791 7.7202 Å, 80.47 90.40 61.77°
With the nearest neighbours (Å) after each atom.
Sites, in units of the cell vectors:
Nb 0.0000 0.0000 0.0000  4 Mo 2.73, 2 Nb 2.74, 2 V 2.78
Mo 0.1109 0.6668 0.8854  6 Mo 2.71-2.79, 1 V 2.72, 1 Nb 2.73
Mo 0.5622 0.3276 0.4459  2 V 2.66, 6 Mo 2.70-2.78
Mo 0.2211 0.3343 0.7734  6 Mo 2.70-2.79, 1 V 2.73, 1 Nb 2.73
Mo 0.4378 0.6724 0.5541  2 V 2.66, 6 Mo 2.70-2.78
Mo 0.8891 0.3332 0.1146  6 Mo 2.71-2.79, 1 V 2.72, 1 Nb 2.73
Mo 0.7789 0.6657 0.2266  6 Mo 2.70-2.79, 1 V 2.73, 1 Nb 2.73
V 0.6658 0.0000 0.3395  3 V 2.64-2.74, 4 Mo 2.66-2.73, 1 Nb 2.78
V 0.3342 0.0000 0.6605  3 V 2.64-2.74, 4 Mo 2.66-2.73, 1 Nb 2.78



[8]
Density functional theory data (PBE) for crystalline CrReTe3 at its relaxed geometry.

Summary:
Energy relative to the elements, uncorrected ... 1.02 eV/atom
Volume ... 29.37 Å³/atom
ΔE to the lowest computed polymorph ... 0.000 eV/atom

Cell: 5.2760 5.2760 5.2760 Å, 90.00 90.00 90.00°
With the nearest neighbours (Å) after each atom.
Sites, in units of the cell vectors:
Te 0.0000 0.0000 0.5000  2 Re 2.64
Te 0.0000 0.5000 0.0000  2 Re 2.64
Te 0.5000 0.0000 0.0000  2 Re 2.64
Cr 0.5000 0.5000 0.5000  12 Te 3.73
Re 0.0000 0.0000 0.0000  6 Te 2.64



[9]
Density functional theory data (PBE) for crystalline Ba3Cd2Hg2Bi4 at its relaxed geometry.

Summary:
Volume ... 35.22 Å³/atom
ΔE_f ... -0.4808 eV per atom

Cell: 5.1238 5.1238 15.1957 Å, 99.71 99.71 90.00°
With the nearest neighbours (Å) after each atom.
Sites, in units of the cell vectors:
Cd 0.4539 0.4539 0.9077  1 Cd 2.72
Cd 0.5461 0.5461 0.0923  1 Cd 2.72
Ba 0.8055 0.8055 0.6110  5 Hg 3.60-3.64, 4 Bi 3.68
Ba 0.0000 0.0000 0.0000  8 Cd 3.87, 8 Bi 4.02
Ba 0.1945 0.1945 0.3890  5 Hg 3.60-3.64, 4 Bi 3.68
Bi 0.1048 0.6048 0.2097  2 Cd 3.09, 2 Hg 3.46
Bi 0.8952 0.3952 0.7903  2 Cd 3.09, 2 Hg 3.46
Bi 0.3952 0.8952 0.7903  2 Cd 3.09, 2 Hg 3.46
Bi 0.6048 0.1048 0.2097  2 Cd 3.09, 2 Hg 3.46
Hg 0.6837 0.6837 0.3673  4 Bi 3.46, 5 Ba 3.60-3.64
Hg 0.3163 0.3163 0.6327  4 Bi 3.46, 5 Ba 3.60-3.64



[10]
Density functional theory data (PBE) for crystalline HfZr2HgH at its relaxed geometry.

Summary:
Volume ... 17.87 Å³/atom
ΔE to the lowest computed polymorph ... 0.158 eV/atom

Cell: 4.2977 4.2977 4.8377 Å, 90.00 90.00 90.00°
With the nearest neighbours (Å) after each atom.
Sites, in units of the cell vectors:
Hg 0.0000 0.0000 0.5000  2 H 2.42
Zr 0.0000 0.5000 0.0000  2 H 2.15
Zr 0.5000 0.0000 0.0000  2 H 2.15
H 0.0000 0.0000 0.0000  4 Zr 2.15
Hf 0.5000 0.5000 0.5000  4 Hg 3.04, 8 Zr 3.24



[11]
Density functional theory data (PBE) for crystalline Cu4NiCl at its relaxed geometry.

Summary:
Energy relative to the elements, uncorrected ... 0.43 eV/atom
Volume ... 13.84 Å³/atom

Cell: 4.8967 4.8967 4.8967 Å, 60.00 60.00 60.00°
With the nearest neighbours (Å) after each atom.
Sites, in units of the cell vectors:
Cl 0.0000 0.0000 0.0000  12 Cu 2.87, 4 Ni 3.00
Cu 0.8723 0.3759 0.3759  6 Cu 2.43-2.47
Cu 0.3759 0.3759 0.8723  6 Cu 2.43-2.47
Cu 0.3759 0.3759 0.3759  6 Cu 2.43-2.47
Cu 0.3759 0.8723 0.3759  6 Cu 2.43-2.47
Ni 0.7500 0.7500 0.7500  12 Cu 2.87, 4 Cl 3.00



[12]
Density functional theory data (PBE) for crystalline ZrSc2In at its relaxed geometry.

Summary:
Volume ... 23.14 Å³/atom
ΔE_f ... -0.2516 eV per atom

Cell: 3.3128 3.3128 8.4324 Å, 90.00 90.00 90.00°
With the nearest neighbours (Å) after each atom.
Sites, in units of the cell vectors:
Zr 0.5000 0.5000 0.2500  8 Sc 3.18, 4 Zr 3.31
Sc 0.0000 0.0000 0.5049  4 In 3.12, 4 Zr 3.18, 4 Sc 3.31
Sc 0.0000 0.0000 0.9951  4 In 3.12, 4 Zr 3.18, 4 Sc 3.31
In 0.5000 0.5000 0.7500  8 Sc 3.12, 4 In 3.31



[13]
Density functional theory data (PBE) for crystalline Sc4Sn2B at its relaxed geometry.

Summary:
Volume ... 22.35 Å³/atom
ΔE_f ... -0.5714 eV per atom

Cell: 4.5634 4.5634 8.1764 Å, 73.80 73.80 90.00°
With the nearest neighbours (Å) after each atom.
Sites, in units of the cell vectors:
Sc 0.0000 0.5000 0.0000  2 B 2.28
Sc 0.8393 0.8393 0.3214  1 B 2.41
Sc 0.5000 0.0000 0.0000  2 B 2.28
Sc 0.1607 0.1607 0.6786  1 B 2.41
B 0.0000 0.0000 0.0000  6 Sc 2.28-2.41
Sn 0.6395 0.6395 0.7209  9 Sc 3.00-3.24
Sn 0.3605 0.3605 0.2791  9 Sc 3.00-3.24



[14]
Density functional theory data (PBE) for crystalline MgSbCl2 at its relaxed geometry.

Summary:
Energy relative to the elements, uncorrected ... -0.86 eV/atom
Volume ... 26.70 Å³/atom
ΔE to the lowest computed polymorph ... 0.264 eV/atom

Cell: 5.9718 5.9718 5.6198 Å, 79.74 79.74 32.84°
With the nearest neighbours (Å) after each atom.
Sites, in units of the cell vectors:
Mg 0.4851 0.4851 0.6362  4 Cl 2.48-2.63
Cl 0.8296 0.8296 0.6117  2 Mg 2.48
Cl 0.0198 0.0198 0.9758  1 Sb 2.59, 2 Mg 2.63
Sb 0.1655 0.1655 0.2763  1 Cl 2.59



[15]
Density functional theory data (PBE) for crystalline Sm5Hg2Ge2 at its relaxed geometry.

Summary:
Volume ... 27.47 Å³/atom
ΔE_f ... -0.6229 eV per atom

Cell: 7.8216 7.8558 8.9475 Å, 90.00 64.08 90.00°
With the nearest neighbours (Å) after each atom.
Sites, in units of the cell vectors:
Sm 0.3098 0.6736 0.7420  3 Ge 3.02-3.18, 3 Hg 3.16-3.24
Sm 0.0000 0.0000 0.0000  4 Ge 3.09-3.11, 2 Hg 3.45
Sm 0.0518 0.6736 0.2580  3 Ge 3.02-3.18, 3 Hg 3.16-3.24
Sm 0.8098 0.8264 0.7420  3 Ge 3.02-3.18, 3 Hg 3.16-3.24
Sm 0.1902 0.1736 0.2580  3 Ge 3.02-3.18, 3 Hg 3.16-3.24
Sm 0.9482 0.3264 0.7420  3 Ge 3.02-3.18, 3 Hg 3.16-3.24
Sm 0.6902 0.3264 0.2580  3 Ge 3.02-3.18, 3 Hg 3.16-3.24
Sm 0.5000 0.5000 0.0000  4 Ge 3.09-3.11, 2 Hg 3.45
Sm 0.5518 0.8264 0.2580  3 Ge 3.02-3.18, 3 Hg 3.16-3.24
Sm 0.4482 0.1736 0.7420  3 Ge 3.02-3.18, 3 Hg 3.16-3.24
Ge 0.3760 0.8731 0.0000  1 Ge 2.78, 4 Sm 3.02-3.11
Ge 0.6240 0.1269 0.0000  1 Ge 2.78, 4 Sm 3.02-3.11
Ge 0.8760 0.6269 0.0000  1 Ge 2.78, 4 Sm 3.02-3.11
Ge 0.1240 0.3731 0.0000  1 Ge 2.78, 4 Sm 3.02-3.11
Hg 0.7146 0.5000 0.5708  7 Sm 3.16-3.45
Hg 0.2854 0.5000 0.4292  7 Sm 3.16-3.45
Hg 0.2146 0.0000 0.5708  7 Sm 3.16-3.45
Hg 0.7854 0.0000 0.4292  7 Sm 3.16-3.45



[16]
Density functional theory data (PBE) for crystalline Cu2OsO4 at its relaxed geometry.

Summary:
Energy relative to the elements, uncorrected ... -0.69 eV/atom
Volume ... 11.43 Å³/atom

Cell: 3.1487 4.6731 6.2067 Å, 114.16 104.69 90.00°
With the nearest neighbours (Å) after each atom.
Sites, in units of the cell vectors:
O 0.1470 0.9448 0.2941  1 Os 1.89, 1 Cu 1.93
O 0.5640 0.2896 0.1279  1 Cu 1.87, 2 Os 2.01
O 0.8530 0.0552 0.7059  1 Os 1.89, 1 Cu 1.93
O 0.4360 0.7104 0.8721  1 Cu 1.87, 2 Os 2.01
Cu 0.6959 0.6904 0.3918  2 O 1.87-1.93
Cu 0.3041 0.3096 0.6082  2 O 1.87-1.93
Os 0.0000 0.0000 0.0000  6 O 1.89-2.01



[17]
Density functional theory data (PBE) for crystalline TcOs at its relaxed geometry.

Summary:
Volume ... 16.60 Å³/atom
ΔE to the lowest computed polymorph ... 1.345 eV/atom
ΔE_f ... 1.2590 eV per atom

Cell: 3.6075 3.6075 3.6075 Å, 60.00 60.00 60.00°
With the nearest neighbours (Å) after each atom.
Sites, in units of the cell vectors:
Tc 0.5000 0.5000 0.5000  6 Os 2.55
Os 0.0000 0.0000 0.0000  6 Tc 2.55



[18]
Density functional theory data (PBE) for crystalline Se3SI at its relaxed geometry.

Summary:
Energy relative to the elements, uncorrected ... 0.65 eV/atom
Volume ... 24.62 Å³/atom
ΔE to the lowest computed polymorph ... 0.000 eV/atom

Cell: 4.9747 4.9747 4.9747 Å, 90.00 90.00 90.00°
With the nearest neighbours (Å) after each atom.
Sites, in units of the cell vectors:
Se 0.0000 0.0000 0.5000  2 S 2.49
Se 0.5000 0.0000 0.0000  2 S 2.49
Se 0.0000 0.5000 0.0000  2 S 2.49
I 0.5000 0.5000 0.5000  12 Se 3.52
S 0.0000 0.0000 0.0000  6 Se 2.49



[19]
Density functional theory data (PBE) for crystalline Pr2Nd3ErTe6 at its relaxed geometry.

Summary:
Energy relative to the elements, uncorrected ... -1.39 eV/atom
Volume ... 31.84 Å³/atom

Cell: 4.4485 9.0174 10.0183 Å, 102.48 102.83 90.00°
With the nearest neighbours (Å) after each atom.
Sites, in units of the cell vectors:
Te 0.3360 0.4161 0.6720  3 Nd 3.12-3.15, 3 Pr 3.15-3.17
Te 0.6640 0.5839 0.3280  3 Nd 3.12-3.15, 3 Pr 3.15-3.17
Te 0.0021 0.7617 0.0042  2 Er 3.10, 3 Nd 3.24-3.27, 1 Pr 3.29
Te 0.6593 0.0775 0.3186  1 Er 3.04, 3 Nd 3.17-3.18, 2 Pr 3.20
Te 0.9979 0.2383 0.9958  2 Er 3.10, 3 Nd 3.24-3.27, 1 Pr 3.29
Te 0.3407 0.9225 0.6814  1 Er 3.04, 3 Nd 3.17-3.18, 2 Pr 3.20
Pr 0.1705 0.3364 0.3410  6 Te 3.15-3.29
Pr 0.8295 0.6636 0.6590  6 Te 3.15-3.29
Er 0.5000 0.0000 0.0000  6 Te 3.04-3.10
Nd 0.5000 0.5000 0.0000  6 Te 3.12-3.24
Nd 0.8261 0.1648 0.6522  6 Te 3.15-3.27
Nd 0.1739 0.8352 0.3478  6 Te 3.15-3.27



[20]
Density functional theory data (PBE) for crystalline NdYMg at its relaxed geometry.

Summary:
Volume ... 30.54 Å³/atom
ΔE to the lowest computed polymorph ... 0.000 eV/atom
ΔE_f ... -0.0696 eV per atom

Cell: 3.7570 5.6177 8.8841 Å, 90.00 102.21 90.00°
With the nearest neighbours (Å) after each atom.
Sites, in units of the cell vectors:
Y 0.2279 0.7500 0.4559  2 Mg 3.32, 4 Y 3.46, 4 Nd 3.68-3.70
Y 0.7721 0.2500 0.5441  2 Mg 3.32, 4 Y 3.46, 4 Nd 3.68-3.70
Mg 0.5703 0.7500 0.1406  2 Y 3.32, 6 Nd 3.35-3.40
Mg 0.4297 0.2500 0.8594  2 Y 3.32, 6 Nd 3.35-3.40
Nd 0.0896 0.2500 0.1791  6 Mg 3.35-3.40, 4 Y 3.68-3.70
Nd 0.9104 0.7500 0.8209  6 Mg 3.35-3.40, 4 Y 3.68-3.70